Entry 1:
Density functional theory data (PBE) for a geometry-optimized V2PIr structure.

The structure in extended XYZ format:
```
4
Lattice="2.789 0.000 0.000 0.000 2.789 0.000 0.000 0.000 6.723" Properties=species:S:1:pos:R:3 pbc="T T T"
P 1.394 1.394 0.000
Ir 1.394 1.394 3.361
V 0.000 0.000 5.195
V 0.000 0.000 1.528
```



Entry 2:
Density functional theory data (PBE) for a geometry-optimized VP3Ir structure.

The structure in extended XYZ format:
```
5
Lattice="4.424 0.000 0.000 0.000 4.424 0.000 0.000 0.000 4.424" Properties=species:S:1:pos:R:3 pbc="T T T"
P 0.000 2.212 0.000
P 0.000 0.000 2.212
P 2.212 0.000 0.000
Ir 2.212 2.212 2.212
V 0.000 0.000 0.000
```



Entry 3:
Density functional theory data (PBE) for a geometry-optimized V3PIr structure.

The structure in extended XYZ format:
```
5
Lattice="4.646 0.000 0.000 0.000 4.646 0.000 0.000 0.000 4.646" Properties=species:S:1:pos:R:3 pbc="T T T"
P 2.323 2.323 2.323
Ir 0.000 0.000 0.000
V 0.000 2.323 0.000
V 0.000 0.000 2.323
V 2.323 0.000 0.000
```



Entry 4:
Density functional theory data (PBE) for a geometry-optimized VPIr2 structure.

The structure in extended XYZ format:
```
8
Lattice="-2.115 0.901 -4.861 3.852 -3.014 -2.234 -2.196 -5.368 -3.014" Properties=species:S:1:pos:R:3 pbc="T T T"
P 0.869 -1.057 -3.548
P 1.262 -4.719 -4.398
Ir -1.348 -1.173 -3.975
Ir 1.552 -3.095 -2.853
Ir -0.920 -4.877 -4.965
Ir -0.203 -5.815 -8.425
V 0.000 0.000 0.000
V -1.721 -2.761 -5.712
```



Entry 5:
Density functional theory data (PBE) for a geometry-optimized VPIr3 structure.

The structure in extended XYZ format:
```
5
Lattice="-3.368 -2.894 0.872 1.155 -0.026 4.375 -2.793 3.479 0.758" Properties=species:S:1:pos:R:3 pbc="T T T"
P -2.503 0.279 3.003
Ir 0.578 -0.013 2.188
Ir -1.397 1.739 0.379
Ir -1.684 -1.447 0.436
V 0.000 0.000 0.000
```



Entry 6:
Density functional theory data (PBE) for a geometry-optimized YVPIr2 structure.

The structure in extended XYZ format:
```
5
Lattice="-0.868 3.064 -3.780 2.155 -3.200 -3.089 -4.155 -2.086 -0.737" Properties=species:S:1:pos:R:3 pbc="T T T"
Y 0.000 0.000 0.000
P -1.434 -1.111 -3.803
Ir 1.077 -1.600 -1.545
Ir -0.434 1.532 -1.890
V -2.077 -1.043 -0.369
```



Entry 7:
Density functional theory data (PBE) for a geometry-optimized P2IrW structure.

The structure in extended XYZ format:
```
4
Lattice="-4.020 3.235 -0.346 -4.652 -1.541 -1.652 3.688 -1.403 3.344" Properties=species:S:1:pos:R:3 pbc="T T T"
Ir -2.334 1.340 1.000
P 0.000 0.000 0.000
P -2.650 -1.048 0.347
W -4.336 0.847 -0.999
```



Entry 8:
Density functional theory data (PBE) for a geometry-optimized PIr2W structure.

The structure in extended XYZ format:
```
4
Lattice="-1.980 1.980 3.704 1.980 -1.980 3.704 1.980 1.980 -3.704" Properties=species:S:1:pos:R:3 pbc="T T T"
P 0.000 0.000 3.704
Ir 0.000 0.000 0.000
Ir 1.980 0.000 1.852
W 0.000 1.980 1.852
```



Entry 9:
Density functional theory data (PBE) for a geometry-optimized P2IrW structure.

The structure in extended XYZ format:
```
4
Lattice="-1.092 4.167 -0.573 -1.236 3.513 2.239 4.131 3.080 0.929" Properties=species:S:1:pos:R:3 pbc="T T T"
Ir 0.451 2.690 0.649
P 1.675 10.501 2.528
P 1.029 5.639 1.364
W 1.352 8.070 1.946
```



Entry 10:
Density functional theory data (PBE) for a geometry-optimized PIrW4 structure.

The structure in extended XYZ format:
```
6
Lattice="0.000 3.693 3.693 3.693 0.000 3.693 3.693 3.693 0.000" Properties=species:S:1:pos:R:3 pbc="T T T"
P 0.000 0.000 0.000
Ir 1.847 1.847 1.847
W 2.766 2.766 4.620
W 2.766 4.620 2.766
W 4.620 4.620 4.620
W 4.620 2.766 2.766
```



Entry 11:
Density functional theory data (PBE) for a geometry-optimized PIr2W structure.

The structure in extended XYZ format:
```
4
Lattice="3.828 0.000 0.000 0.000 3.828 0.000 0.000 0.000 3.973" Properties=species:S:1:pos:R:3 pbc="T T T"
P 1.914 1.914 1.986
Ir 0.000 1.914 0.000
Ir 1.914 0.000 0.000
W 0.000 0.000 1.986
```



Entry 12:
Density functional theory data (PBE) for a geometry-optimized PIr2W structure.

The structure in extended XYZ format:
```
4
Lattice="-0.341 0.404 2.778 1.758 -2.152 0.529 5.558 4.545 0.020" Properties=species:S:1:pos:R:3 pbc="T T T"
P 0.708 -0.874 1.654
Ir 4.287 3.505 0.015
Ir 1.271 1.040 0.005
W 3.488 1.399 1.664
```



Entry 13:
Density functional theory data (PBE) for a geometry-optimized PIr2W structure.

The structure in extended XYZ format:
```
4
Lattice="4.313 -2.053 2.251 3.077 2.975 3.093 -4.738 -2.134 -0.941" Properties=species:S:1:pos:R:3 pbc="T T T"
P 3.672 0.458 2.656
Ir 7.338 0.915 5.307
Ir 1.341 0.692 2.646
W 1.385 -1.894 1.810
```



Entry 14:
Density functional theory data (PBE) for a geometry-optimized P2IrW structure.

The structure in extended XYZ format:
```
4
Lattice="-2.932 -3.189 -1.233 2.570 -2.700 0.872 0.004 -1.574 4.060" Properties=species:S:1:pos:R:3 pbc="T T T"
Ir 0.709 -4.944 2.873
P 1.842 -3.395 4.399
P -0.092 -3.545 1.159
W 1.044 -1.991 2.667
```



Entry 15:
Density functional theory data (PBE) for a geometry-optimized PIr2W structure.

The structure in extended XYZ format:
```
4
Lattice="2.673 -3.883 0.000 2.673 3.883 0.000 0.000 0.000 2.826" Properties=species:S:1:pos:R:3 pbc="T T T"
P 0.000 0.000 1.413
Ir 1.337 -1.942 0.000
Ir 1.337 1.942 0.000
W 2.673 0.000 1.413
```



Entry 16:
Density functional theory data (PBE) for a geometry-optimized P2IrW structure.

The structure in extended XYZ format:
```
8
Lattice="-1.557 1.844 4.868 3.997 -2.832 2.351 4.379 3.536 3.094" Properties=species:S:1:pos:R:3 pbc="T T T"
P 0.602 1.705 4.169
P 3.417 -0.678 2.792
P 4.151 2.316 4.999
P 5.468 1.753 8.666
Ir 0.000 0.000 0.000
Ir 2.021 2.443 5.786
W 1.220 -0.494 3.610
W 4.798 0.105 4.527
```



Entry 17:
Density functional theory data (PBE) for a geometry-optimized P2IrW structure.

The structure in extended XYZ format:
```
4
Lattice="3.030 0.000 0.000 0.000 4.225 0.000 0.000 0.000 4.225" Properties=species:S:1:pos:R:3 pbc="T T T"
Ir 1.515 0.000 2.113
P 0.000 0.000 0.000
P 0.000 2.113 2.113
W 1.515 2.113 0.000
```



Entry 18:
Density functional theory data (PBE) for a geometry-optimized PIr2W structure.

The structure in extended XYZ format:
```
4
Lattice="-6.426 -2.204 -5.076 -4.318 -2.181 -6.965 -4.777 -4.484 -5.384" Properties=species:S:1:pos:R:3 pbc="T T T"
P -7.721 -4.412 -8.668
Ir -15.488 -8.849 -17.388
Ir -11.780 -6.731 -13.225
W -3.813 -2.179 -4.280
```



Entry 19:
Density functional theory data (PBE) for a geometry-optimized PIr2W structure.

The structure in extended XYZ format:
```
4
Lattice="1.429 4.747 0.024 -1.429 4.747 0.024 0.000 0.179 4.494" Properties=species:S:1:pos:R:3 pbc="T T T"
P 0.000 4.962 2.606
Ir 0.000 9.660 4.513
Ir 0.000 2.773 3.228
W 0.000 6.789 1.010
```



Entry 20:
Density functional theory data (PBE) for a geometry-optimized PIr3W structure.

The structure in extended XYZ format:
```
5
Lattice="4.389 0.000 0.000 0.000 4.389 0.000 0.000 0.000 4.389" Properties=species:S:1:pos:R:3 pbc="T T T"
P 0.000 0.000 0.000
Ir 0.000 2.195 0.000
Ir 0.000 0.000 2.195
Ir 2.195 0.000 0.000
W 2.195 2.195 2.195
```



Entry 21:
Density functional theory data (PBE) for a geometry-optimized PIr2W structure.

The structure in extended XYZ format:
```
4
Lattice="1.401 4.696 -0.014 -1.401 4.696 -0.014 0.000 0.036 4.475" Properties=species:S:1:pos:R:3 pbc="T T T"
P 0.000 4.714 2.223
Ir 0.000 2.613 3.368
Ir 0.000 6.815 1.079
W 0.000 0.000 0.000
```



Entry 22:
Density functional theory data (PBE) for a geometry-optimized PIr4W structure.

The structure in extended XYZ format:
```
6
Lattice="-3.587 1.547 3.348 -4.179 2.491 -1.674 -4.592 -2.319 0.105" Properties=species:S:1:pos:R:3 pbc="T T T"
P -9.268 1.290 1.334
Ir -6.428 1.419 2.343
Ir -6.931 -0.516 0.719
Ir -6.724 1.892 -0.172
Ir -4.632 0.645 0.667
W 0.000 0.000 0.000
```



Entry 23:
Density functional theory data (PBE) for a geometry-optimized PIr2W structure.

The structure in extended XYZ format:
```
4
Lattice="-0.661 0.146 -4.036 -2.448 -1.388 0.351 -3.569 3.666 0.717" Properties=species:S:1:pos:R:3 pbc="T T T"
P -1.555 -0.621 -1.842
Ir -4.821 1.599 0.847
Ir -1.196 0.679 0.220
W -3.339 1.212 -1.484
```



Entry 24:
Density functional theory data (PBE) for a geometry-optimized PIr2W structure.

The structure in extended XYZ format:
```
4
Lattice="4.670 0.000 0.000 0.000 4.670 0.000 0.000 0.000 2.771" Properties=species:S:1:pos:R:3 pbc="T T T"
P 2.335 2.335 1.385
Ir 2.335 0.000 0.000
Ir 0.000 2.335 0.000
W 0.000 0.000 1.385
```



Entry 25:
Density functional theory data (PBE) for a geometry-optimized PIr2W structure.

The structure in extended XYZ format:
```
4
Lattice="-0.976 -1.685 4.371 -4.724 -0.240 0.719 2.830 -1.569 -3.525" Properties=species:S:1:pos:R:3 pbc="T T T"
P -2.850 -0.962 2.545
Ir -0.498 -2.108 1.695
Ir -2.373 -1.386 -0.131
W 0.000 0.000 0.000
```



Entry 26:
Density functional theory data (PBE) for a geometry-optimized P4IrW structure.

The structure in extended XYZ format:
```
6
Lattice="4.162 1.561 2.069 0.679 -0.511 4.829 3.267 -3.245 1.686" Properties=species:S:1:pos:R:3 pbc="T T T"
P 5.124 -0.040 4.254
P 4.676 -2.448 4.062
P 3.379 -1.079 5.637
P 3.039 -0.822 3.217
Ir 0.000 0.000 0.000
W 6.082 -1.646 6.439
```



Entry 27:
Density functional theory data (PBE) for a geometry-optimized PIrW3 structure.

The structure in extended XYZ format:
```
5
Lattice="4.393 0.000 0.000 0.000 4.393 0.000 0.000 0.000 4.393" Properties=species:S:1:pos:R:3 pbc="T T T"
P 0.000 0.000 0.000
Ir 2.197 2.197 2.197
W 0.000 2.197 0.000
W 0.000 0.000 2.197
W 2.197 0.000 0.000
```



Entry 28:
Density functional theory data (PBE) for a geometry-optimized P2IrW structure.

The structure in extended XYZ format:
```
4
Lattice="-0.580 -2.853 -0.454 4.979 -0.896 -0.724 0.431 -0.697 3.828" Properties=species:S:1:pos:R:3 pbc="T T T"
Ir 2.705 -0.796 1.552
P 0.000 0.000 0.000
P 2.200 -1.875 -0.589
W -0.074 -1.775 1.687
```



Entry 29:
Density functional theory data (PBE) for a geometry-optimized P2IrW structure.

The structure in extended XYZ format:
```
4
Lattice="4.374 0.000 0.000 2.187 3.788 0.000 2.187 1.263 3.572" Properties=species:S:1:pos:R:3 pbc="T T T"
Ir 4.374 2.526 1.786
P 0.000 0.000 0.000
P 6.562 3.788 2.679
W 2.187 1.263 0.893
```



The calculated total energy results, record by record, are as follows: -34.43, -30.13, -36.52, -64.22, -33.71, -27.38, -31.92, -35.34, -32.68, -60.93, -34.97, -36.44, -36.60, -33.69, -35.53, -64.93, -33.00, -36.23, -36.32, -40.06, -36.21, -49.48, -36.54, -34.79, -35.65, -38.21, -48.47, -31.35, -30.41 eV per cell.